# MgTlIn4

A geometry-optimized MgTlIn4 structure (PBE-GGA, the Alexandria database).

Summary:
Crystal system   monoclinic
Relative energy among the computed polymorphs   0.0000 eV per atom
Density of states at the Fermi level   2.655 states/eV/f.u.
Formation energy   -0.013 eV per atom
Magnetization   0.0 μB/cell

a = 3.2801 Å, b = 3.4890 Å, c = 13.9408 Å
α = 90.00°, β = 90.01°, γ = 90.00°
Closest atoms and distances in Å follow each position.
Space group P2/m (No. 10)
Unique sites:
Mg 0.0000 0.0000 0.0000 [1 per cell]  8 In 3.17, 4 Mg 3.28-3.49
Tl 0.5000 0.5000 0.5000 [1 per cell]  4 Tl 3.28-3.49, 8 In 3.50-3.51
In 0.0027 0.0000 0.3163 [2 per cell]  8 In 3.28-3.49, 4 Tl 3.50-3.51
In 0.4988 0.5000 0.8509 [2 per cell]  4 Mg 3.17, 8 In 3.28-3.49


# Mg4Tl3In4

A geometry-optimized Mg4Tl3In4 structure (PBE-GGA, the Alexandria database).

Summary:
Crystal system   orthorhombic
Relative energy among the computed polymorphs   0.0685 eV per atom
Density of states at the Fermi level   5.245 states/eV/f.u.
Formation energy   0.050 eV per atom
Magnetization   0.0 μB/cell

a = 4.6357 Å, b = 8.6624 Å, c = 15.2316 Å
α = 90.00°, β = 90.00°, γ = 90.00°
Closest atoms and distances in Å follow each position.
Space group Immm (No. 71)
Unique sites:
Mg 0.0000 0.0000 0.2435 [4 per cell]  6 In 2.99-3.00, 2 Tl 3.19
Mg 0.0000 0.1845 0.5000 [4 per cell]  2 In 2.92, 1 Mg 3.20
Tl 0.0000 0.0000 0.0000 [2 per cell]  6 Mg 3.58-3.71, 8 In 3.89
Tl 0.0000 0.5000 0.1123 [4 per cell]  6 Mg 3.19-3.29, 1 Tl 3.42
In 0.0000 0.3162 0.3235 [8 per cell]  4 Mg 2.92-3.00, 1 In 3.18


# MgTl3In

A geometry-optimized MgTl3In structure (PBE-GGA, the Alexandria database).

Summary:
Crystal system   cubic
Relative energy among the computed polymorphs   0.2548 eV per atom
Density of states at the Fermi level   4.021 states/eV/f.u.
Formation energy   0.264 eV per atom
Magnetization   0.0 μB/cell

a = 5.5432 Å, b = 5.5432 Å, c = 5.5432 Å
α = 90.00°, β = 90.00°, γ = 90.00°
Closest atoms and distances in Å follow each position.
Space group Pm-3m (No. 221)
Unique sites:
Mg 0.0000 0.0000 0.0000 [1 per cell]  6 Tl 2.77
Tl 0.0000 0.0000 0.5000 [3 per cell]  2 Mg 2.77
In 0.5000 0.5000 0.5000 [1 per cell]  12 Tl 3.92


# Mg2Tl3In2

A geometry-optimized Mg2Tl3In2 structure (PBE-GGA, the Alexandria database).

Summary:
Crystal system   orthorhombic
Density of states at the Fermi level   2.528 states/eV/f.u.
Formation energy   0.010 eV per atom
Magnetization   0.0 μB/cell

a = 3.7287 Å, b = 29.0428 Å, c = 3.4932 Å
α = 90.00°, β = 90.00°, γ = 90.00°
Closest atoms and distances in Å follow each position.
Space group Cmmm (No. 65)
Unique sites:
Mg 0.0000 0.0650 0.0000 [4 per cell]  8 Tl 3.18-3.22, 2 Mg 3.49
Tl 0.0000 0.3675 0.5000 [4 per cell]  4 Mg 3.22, 4 In 3.34, 2 Tl 3.49
Tl 0.0000 0.5000 0.5000 [2 per cell]  8 Mg 3.18, 2 Tl 3.49
In 0.0000 0.2068 0.0000 [4 per cell]  4 In 3.13-3.49, 4 Tl 3.34


# Mg3Tl2In2

A geometry-optimized Mg3Tl2In2 structure (PBE-GGA, the Alexandria database).

Summary:
Crystal system   orthorhombic
Relative energy among the computed polymorphs   0.0000 eV per atom
Density of states at the Fermi level   2.904 states/eV/f.u.
Formation energy   -0.015 eV per atom
Magnetization   0.0 μB/cell

a = 4.3483 Å, b = 24.6614 Å, c = 3.2629 Å
α = 90.00°, β = 90.00°, γ = 90.00°
Closest atoms and distances in Å follow each position.
Space group Cmmm (No. 65)
Unique sites:
Mg 0.0000 0.0000 0.0000 [2 per cell]  8 Tl 3.22, 4 Mg 3.26-3.52
Mg 0.0000 0.1426 0.0000 [4 per cell]  4 In 3.14, 4 Tl 3.26, 3 Mg 3.26-3.52
Tl 0.0000 0.4302 0.5000 [4 per cell]  8 Mg 3.22-3.26, 3 Tl 3.26-3.44, 1 In 3.37
In 0.0000 0.2935 0.5000 [4 per cell]  4 In 3.05-3.26, 4 Mg 3.14, 1 Tl 3.37


# Mg7TlIn3

A geometry-optimized Mg7TlIn3 structure (PBE-GGA, the Alexandria database).

Summary:
Crystal system   monoclinic
Density of states at the Fermi level   3.444 states/eV/f.u.
Formation energy   0.019 eV per atom
Magnetization   0.0 μB/cell

a = 10.5850 Å, b = 10.9638 Å, c = 5.6020 Å
α = 90.00°, β = 121.77°, γ = 90.00°
Closest atoms and distances in Å follow each position.
Space group C2/m (No. 12)
Unique sites:
Mg 0.0000 0.0000 0.0000 [2 per cell]  2 Tl 2.80, 2 In 2.95
Mg 0.1735 0.2736 0.6734 [8 per cell]  4 In 2.93-3.21, 4 Mg 3.12-3.28
Mg 0.1797 0.5000 0.1850 [4 per cell]  1 Tl 2.88, 3 In 3.01-3.20
Tl 0.0000 0.0000 0.5000 [2 per cell]  4 Mg 2.80-2.88
In 0.0000 0.2688 0.0000 [4 per cell]  9 Mg 2.95-3.21
In 0.0000 0.5000 0.5000 [2 per cell]  8 Mg 2.93-3.26


# MgTl2In6

A geometry-optimized MgTl2In6 structure (PBE-GGA, the Alexandria database).

Summary:
Crystal system   trigonal
Relative energy among the computed polymorphs   0.0215 eV per atom
Density of states at the Fermi level   3.608 states/eV/f.u.
Formation energy   0.035 eV per atom
Magnetization   0.0 μB/cell

a = 9.3119 Å, b = 9.3119 Å, c = 3.3233 Å
α = 90.00°, β = 90.00°, γ = 120.00°
Closest atoms and distances in Å follow each position.
Space group P-31m (No. 162)
Unique sites:
Mg 0.0000 0.0000 0.0000 [1 per cell]  6 In 3.10, 2 Mg 3.32
Tl 0.3333 0.6667 0.5000 [2 per cell]  6 In 3.30, 2 Tl 3.32
In 0.0000 0.3262 0.1921 [6 per cell]  1 Mg 3.10, 4 In 3.29-3.32, 2 Tl 3.30


# Mg5Tl4In

A geometry-optimized Mg5Tl4In structure (PBE-GGA, the Alexandria database).

Summary:
Crystal system   tetragonal
Density of states at the Fermi level   3.316 states/eV/f.u.
Formation energy   -0.045 eV per atom
Magnetization   0.0 μB/cell

a = 3.6239 Å, b = 3.6239 Å, c = 18.7032 Å
α = 90.00°, β = 90.00°, γ = 90.00°
Closest atoms and distances in Å follow each position.
Space group P4/mmm (No. 123)
Unique sites:
Mg 0.0000 0.0000 0.0000 [1 per cell]  8 Tl 3.18
Mg 0.0000 0.0000 0.2016 [2 per cell]  8 Tl 3.18
Mg 0.0000 0.0000 0.4033 [2 per cell]  4 In 3.14, 4 Tl 3.18
Tl 0.5000 0.5000 0.1010 [2 per cell]  8 Mg 3.18
Tl 0.5000 0.5000 0.3027 [2 per cell]  8 Mg 3.18
In 0.5000 0.5000 0.5000 [1 per cell]  8 Mg 3.14


# MgTlIn

A geometry-optimized MgTlIn structure (PBE-GGA, the Alexandria database).

Summary:
Crystal system   monoclinic
Density of states at the Fermi level   1.365 states/eV/f.u.
Formation energy   0.018 eV per atom
Magnetization   0.0 μB/cell

a = 7.9825 Å, b = 6.3318 Å, c = 6.4693 Å
α = 90.00°, β = 104.82°, γ = 90.00°
Closest atoms and distances in Å follow each position.
Space group P2_1/c (No. 14)
Unique sites:
Mg 0.1986 0.0060 0.4141 [4 per cell]  5 Tl 3.07-3.33, 4 In 3.20-3.29
Tl 0.1656 0.5057 0.3905 [4 per cell]  5 Mg 3.07-3.33, 1 Tl 3.30, 3 In 3.41-3.43
In 0.5003 0.2495 0.7514 [4 per cell]  4 In 3.17-3.23, 4 Mg 3.20-3.29, 4 Tl 3.41-3.47


# Mg4TlIn15

A geometry-optimized Mg4TlIn15 structure (PBE-GGA, the Alexandria database).

Summary:
Crystal system   tetragonal
Density of states at the Fermi level   6.789 states/eV/f.u.
Formation energy   -0.029 eV per atom
Magnetization   0.0 μB/cell

a = 4.6199 Å, b = 4.6199 Å, c = 24.0748 Å
α = 90.00°, β = 90.00°, γ = 90.00°
Closest atoms and distances in Å follow each position.
Space group P4/mmm (No. 123)
Unique sites:
Mg 0.0000 0.0000 0.0958 [2 per cell]  12 In 3.26-3.27
Mg 0.0000 0.0000 0.2891 [2 per cell]  12 In 3.27-3.34
Tl 0.0000 0.0000 0.5000 [1 per cell]  12 In 3.27-3.53
In 0.0000 0.5000 0.0000 [2 per cell]  8 In 3.25-3.27, 4 Mg 3.26
In 0.0000 0.5000 0.1921 [4 per cell]  8 In 3.27-3.30, 4 Mg 3.27-3.28
In 0.0000 0.5000 0.3891 [4 per cell]  8 In 3.27-3.53, 2 Mg 3.34, 2 Tl 3.53
In 0.5000 0.5000 0.0947 [2 per cell]  8 In 3.25-3.29, 4 Mg 3.27
In 0.5000 0.5000 0.2903 [2 per cell]  4 Mg 3.27, 8 In 3.30-3.32
In 0.5000 0.5000 0.5000 [1 per cell]  4 Tl 3.27, 8 In 3.53